(1)
Compound: Ac2Sn5Pd
Source: Alexandria via LeMat-Bulk
Functional: GGA-PBE
Structure: relaxed

Results
* formation enthalpy at 0 K: -0.547 eV per atom

Cell: 6.6639 6.6639 10.5934 Å, 90.00 90.00 90.00°
Last column: nearest neighbours and their distance in Å.
Space group I4mm (No. 107)
Unique sites:
Ac: 0.0000 0.5000 0.0000 x4  10 Sn 3.39-3.59, 2 Pd 3.57
Sn: 0.0000 0.0000 0.4408 x2  4 Sn 3.13, 4 Ac 3.39
Sn: 0.2477 0.2477 0.2441 x8  1 Pd 2.77
Pd: 0.0000 0.0000 0.8786 x2  4 Sn 2.77



(2)
Compound: Ac2SnPd4
Source: Alexandria via LeMat-Bulk
Functional: GGA-PBE
Structure: relaxed

Results
* formation enthalpy at 0 K: -0.459 eV per atom

Cell: 5.0007 5.0007 15.4439 Å, 90.00 90.00 90.00°
Last column: nearest neighbours and their distance in Å.
Space group I4/mmm (No. 139)
Unique sites:
Ac: 0.0000 0.0000 0.1402 x4  1 Pd 2.90
Sn: 0.0000 0.0000 0.5000 x2  6 Pd 2.50-2.66
Pd: 0.0000 0.0000 0.3279 x4  1 Sn 2.66, 1 Ac 2.90
Pd: 0.0000 0.5000 0.0000 x4  2 Sn 2.50



(3)
Compound: Ac3Sn2Pd6
Source: Alexandria via LeMat-Bulk
Functional: GGA-PBE
Structure: relaxed

Results
* formation enthalpy at 0 K: -0.784 eV per atom

Cell: 10.0631 10.0631 10.0631 Å, 90.00 90.00 90.00°
Last column: nearest neighbours and their distance in Å.
Space group Im-3m (No. 229)
Unique sites:
Ac: 0.0000 0.0000 0.2920 x12  8 Pd 3.13-3.41
Sn: 0.2500 0.2500 0.2500 x8  6 Pd 2.80
Pd: 0.0000 0.3360 0.3360 x24  2 Sn 2.80, 4 Pd 2.91



(4)
Compound: Ac2SnPd2
Source: Alexandria via LeMat-Bulk
Functional: GGA-PBE
Structure: relaxed

Results
* formation enthalpy at 0 K: -0.854 eV per atom

Cell: 8.0457 8.0457 4.2043 Å, 90.00 90.00 90.00°
Last column: nearest neighbours and their distance in Å.
Space group P4/mbm (No. 127)
Unique sites:
Ac: 0.1782 0.3218 0.0000 x4  6 Pd 3.06-3.25
Sn: 0.0000 0.0000 0.5000 x2  4 Pd 3.18
Pd: 0.1259 0.6259 0.5000 x4  1 Pd 2.87, 2 Ac 3.06, 2 Sn 3.18



(5)
Compound: Ac6SnPd4
Source: Alexandria via LeMat-Bulk
Functional: GGA-PBE
Structure: relaxed

Results
* formation enthalpy at 0 K: -0.699 eV per atom

Cell: 4.5367 14.5770 22.3994 Å, 90.00 90.00 90.00°
Last column: nearest neighbours and their distance in Å.
Space group Cmcm (No. 63)
Unique sites:
Ac: 0.0000 0.0000 0.0000 x4  6 Pd 3.10-3.16
Ac: 0.0000 0.1726 0.2500 x4  2 Pd 3.05, 2 Sn 3.38
Ac: 0.0000 0.2679 0.5846 x8  5 Pd 3.12-3.13
Ac: 0.0000 0.4602 0.1598 x8  3 Pd 3.02-3.13
Sn: 0.0000 0.1552 0.7500 x4  6 Ac 3.38-3.47
Pd: 0.0000 0.0966 0.1232 x8  6 Ac 3.05-3.13
Pd: 0.0000 0.3628 0.0406 x8  6 Ac 3.02-3.16



(6)
Compound: Ac4Sn5Pd2
Source: Alexandria via LeMat-Bulk
Functional: GGA-PBE
Structure: relaxed

Results
* formation enthalpy at 0 K: -0.721 eV per atom

Cell: 7.8386 4.6205 9.3114 Å, 90.00 91.76 90.00°
Last column: nearest neighbours and their distance in Å.
Space group P2/m (No. 10)
Unique sites:
Ac: 0.2148 0.0000 0.3595 x2  2 Pd 3.27, 8 Sn 3.45-3.55
Ac: 0.2399 0.0000 0.9009 x2  4 Pd 3.43, 6 Sn 3.49-3.63
Sn: 0.1285 0.5000 0.6298 x2  1 Pd 2.78, 1 Sn 3.10
Sn: 0.4362 0.5000 0.1566 x2  1 Pd 2.78, 1 Sn 3.11
Sn: 0.5000 0.5000 0.5000 x1  4 Sn 3.19-3.22, 4 Ac 3.45
Pd: 0.0814 0.5000 0.1345 x2  1 Pd 2.78, 2 Sn 2.78



(7)
Compound: Ac2Sn2Pd5
Source: Alexandria via LeMat-Bulk
Functional: GGA-PBE
Structure: relaxed

Results
* formation enthalpy at 0 K: -0.752 eV per atom

Cell: 4.7636 4.7636 9.0131 Å, 90.00 90.00 90.00°
Last column: nearest neighbours and their distance in Å.
Space group P4/mmm (No. 123)
Unique sites:
Ac: 0.0000 0.0000 0.0000 x1  8 Pd 3.52, 8 Sn 3.67
Ac: 0.0000 0.0000 0.5000 x1  12 Pd 3.06-3.37
Sn: 0.5000 0.5000 0.1616 x2  4 Pd 2.64, 1 Sn 2.91
Pd: 0.0000 0.5000 0.2875 x4  2 Sn 2.64
Pd: 0.5000 0.5000 0.5000 x1  2 Sn 3.05, 8 Pd 3.06, 4 Ac 3.37



(8)
Compound: Ac2Sn2Pd
Source: Alexandria via LeMat-Bulk
Functional: GGA-PBE
Structure: relaxed

Results
* formation enthalpy at 0 K: -0.792 eV per atom

Cell: 11.7296 4.8777 11.9699 Å, 90.00 118.19 90.00°
Last column: nearest neighbours and their distance in Å.
Space group C2/m (No. 12)
Unique sites:
Ac: 0.0141 0.0000 0.3354 x4  4 Pd 3.38-3.63, 7 Sn 3.40-3.69
Ac: 0.1900 0.0000 0.1178 x4  6 Sn 3.42-3.55, 2 Pd 3.47
Sn: 0.0178 0.5000 0.8817 x4  1 Pd 2.85, 1 Sn 3.05
Sn: 0.1505 0.5000 0.5583 x4  2 Pd 2.80, 1 Sn 3.12
Pd: 0.2279 0.5000 0.3391 x4  3 Sn 2.80-2.85



(9)
Compound: Ac2SnPd5
Source: Alexandria via LeMat-Bulk
Functional: GGA-PBE
Structure: relaxed

Results
* relative energy among the computed polymorphs: 0.03 eV/f.u.
* formation enthalpy at 0 K: -0.757 eV per atom

Cell: 6.4723 6.4723 8.8165 Å, 90.00 90.00 90.00°
Last column: nearest neighbours and their distance in Å.
Space group I4mm (No. 107)
Unique sites:
Ac: 0.0000 0.5000 0.0000 x4  10 Pd 3.15-3.24
Sn: 0.0000 0.0000 0.2098 x2  5 Pd 2.66-2.74
Pd: 0.0000 0.0000 0.5204 x2  1 Sn 2.74, 4 Pd 2.85
Pd: 0.2131 0.2131 0.7567 x8  1 Sn 2.66, 3 Pd 2.76-2.85



(10)
Compound: AcSn5Pd2
Source: Alexandria via LeMat-Bulk
Functional: GGA-PBE
Structure: relaxed

Results
* formation enthalpy at 0 K: -0.409 eV per atom

Cell: 4.4422 8.5170 10.8439 Å, 90.00 90.00 90.00°
Last column: nearest neighbours and their distance in Å.
Space group Immm (No. 71)
Unique sites:
Ac: 0.0000 0.0000 0.0000 x2  4 Pd 3.40
Sn: 0.0000 0.1933 0.3448 x8  3 Pd 2.76-3.00
Sn: 0.0000 0.5000 0.0000 x2  2 Pd 2.84
Pd: 0.0000 0.5000 0.2622 x4  7 Sn 2.76-3.00



(11)
Compound: AcTbSnPd
Source: Alexandria via LeMat-Bulk
Functional: GGA-PBE
Structure: relaxed

Results
* formation enthalpy at 0 K: -0.632 eV per atom

Cell: 7.6659 7.6659 7.6659 Å, 90.00 90.00 90.00°
Last column: nearest neighbours and their distance in Å.
Space group F-43m (No. 216)
Unique sites:
Ac: 0.0000 0.0000 0.0000 x4  4 Sn 3.32, 4 Pd 3.32
Tb: 0.0000 0.0000 0.5000 x4  4 Pd 3.32, 4 Sn 3.32
Sn: 0.2500 0.2500 0.2500 x4  4 Tb 3.32, 4 Ac 3.32
Pd: 0.2500 0.2500 0.7500 x4  4 Ac 3.32, 4 Tb 3.32



(12)
Compound: Ac2TbSn3Pd4
Source: Alexandria via LeMat-Bulk
Functional: GGA-PBE
Structure: relaxed

Results
* formation enthalpy at 0 K: -0.847 eV per atom

Cell: 4.7054 4.7054 11.1766 Å, 90.00 90.00 90.00°
Last column: nearest neighbours and their distance in Å.
Space group P-4m2 (No. 115)
Unique sites:
Ac: 0.0000 0.5000 0.2286 x2  8 Pd 3.47-3.63, 6 Sn 3.54-3.84, 2 Tb 3.84
Tb: 0.0000 0.0000 0.5000 x1  4 Pd 2.84
Sn: 0.0000 0.5000 0.8795 x2  5 Pd 2.65-2.71
Sn: 0.5000 0.5000 0.5000 x1  4 Pd 2.84
Pd: 0.0000 0.0000 0.0000 x1  4 Sn 2.71
Pd: 0.0000 0.5000 0.6421 x2  3 Sn 2.65-2.84, 2 Tb 2.84
Pd: 0.5000 0.5000 0.0000 x1  4 Sn 2.71



Number 1: size of the total moment 0.0 μB/f.u.. Number 2: size of the total moment 0.0 μB/f.u.. Number 3: size of the total moment 0.0 μB/f.u.. Number 4: size of the total moment 0.0 μB/f.u.. Number 5: size of the total moment 0.0 μB/f.u.. Number 6: size of the total moment 0.0 μB/f.u.. Number 7: size of the total moment 0.0 μB/f.u.. Number 8: size of the total moment 0.0 μB/f.u.. Number 9: size of the total moment 0.0 μB/f.u.. Number 10: size of the total moment 0.0 μB/f.u.. Number 11: size of the total moment 0.0 μB/f.u.. Number 12: size of the total moment 0.0 μB/f.u..